LaCrO3 | the Alexandria database | GGA+U | relaxed; magnetization = 12.00 μB per cell; DFT total energy = -7.874 eV/atom; space group = Pnma (62); theoretical density = 5.4 g cm⁻³
1.0
5.773 0.000 0.000
0.000 8.858 0.000
0.000 0.000 5.755
Cr O La
4 12 4
Cartesian
2.899 6.644 2.730
5.760 2.215 5.607
0.013 6.644 0.148
2.873 2.215 3.025
2.010 0.865 2.016
3.944 6.644 1.051
0.876 5.295 4.893
4.715 2.215 3.928
2.010 3.564 2.016
4.896 3.564 0.861
0.876 7.993 4.893
1.829 2.215 4.704
3.762 7.993 3.739
4.896 0.865 0.861
1.057 6.644 1.827
3.762 5.295 3.739
2.886 4.429 0.000
0.000 0.000 2.877
2.886 0.000 0.000
0.000 4.429 2.877